## NiBrO (PBE+U)

Data for a relaxed structure of NiBrO.

- SG: Cm (8)
- Energy: -3.31 eV per atom

The structure in CIF format:
```
data_NiBrO
_cell_length_a 5.7018
_cell_length_b 3.2311
_cell_length_c 5.6047
_cell_angle_alpha 90.00
_cell_angle_beta 90.76
_cell_angle_gamma 90.00
_space_group_name_H-M_alt 'P 1'
_space_group_IT_number 1
loop_
_space_group_symop_operation_xyz
'x,y,z'
loop_
_atom_site_label
_atom_site_type_symbol
_atom_site_fract_x
_atom_site_fract_y
_atom_site_fract_z
Br1 Br 0.9362 0.0000 0.2762
Br2 Br 0.9362 0.5000 0.7762
O1 O 0.4726 0.0000 0.9366
O2 O 0.4726 0.5000 0.4366
Ni1 Ni 0.5759 0.5000 0.1048
Ni2 Ni 0.5759 0.0000 0.6048
```